# NaZnW2 | Alexandria via LeMat-Bulk | PBEsol | optimized geometry
data_NaZnW2
_space_group_name_H-M_alt 'P 1'
_space_group_IT_number 1
_space_group_name_Hall 'P 1'
_cell_length_a 4.421
_cell_length_b 4.421
_cell_length_c 4.421
_cell_angle_alpha 60.00
_cell_angle_beta 60.00
_cell_angle_gamma 60.00
loop_
_atom_site_label
_atom_site_type_symbol
_atom_site_fract_x
_atom_site_fract_y
_atom_site_fract_z
Na1 Na 0.000 0.000 0.000
Zn1 Zn 0.500 0.500 0.500
W1 W 0.250 0.250 0.250
W2 W 0.750 0.750 0.750
# - Mass density: 12.4 g/cm3
# - DOS at the Fermi energy: 0.78 states/eV/atom
# - ΔE_f: 1.476 eV/atom
# - Raw total energy: -24.7 eV/cell

---

# NaYZn2 | Alexandria via LeMat-Bulk | PBEsol | optimized geometry
data_NaYZn2
_space_group_name_H-M_alt 'P 1'
_space_group_IT_number 1
_space_group_name_Hall 'P 1'
_cell_length_a 4.889
_cell_length_b 4.889
_cell_length_c 4.889
_cell_angle_alpha 60.00
_cell_angle_beta 60.00
_cell_angle_gamma 60.00
loop_
_atom_site_label
_atom_site_type_symbol
_atom_site_fract_x
_atom_site_fract_y
_atom_site_fract_z
Na1 Na 0.000 0.000 0.000
Y1 Y 0.500 0.500 0.500
Zn1 Zn 0.250 0.250 0.250
Zn2 Zn 0.750 0.750 0.750
# - Mass density: 4.9 g/cm3
# - DOS at the Fermi energy: 0.72 states/eV/atom
# - ΔE_f: -0.056 eV/atom
# - Raw total energy: -11.6 eV/cell

---

# NaY2Zn2 | Alexandria via LeMat-Bulk | PBEsol | optimized geometry
data_NaY2Zn2
_space_group_name_H-M_alt 'P 1'
_space_group_IT_number 1
_space_group_name_Hall 'P 1'
_cell_length_a 10.818
_cell_length_b 10.818
_cell_length_c 10.818
_cell_angle_alpha 161.08
_cell_angle_beta 161.08
_cell_angle_gamma 26.88
loop_
_atom_site_label
_atom_site_type_symbol
_atom_site_fract_x
_atom_site_fract_y
_atom_site_fract_z
Na1 Na 0.000 0.000 0.000
Y1 Y 0.367 0.367 0.000
Y2 Y 0.633 0.633 0.000
Zn1 Zn 0.250 0.750 0.500
Zn2 Zn 0.750 0.250 0.500
# - Mass density: 4.1 g/cm3
# - DOS at the Fermi energy: 1.04 states/eV/atom
# - ΔE_f: 0.185 eV/atom
# - Raw total energy: -17.3 eV/cell

---

# NaZn13 | Alexandria via LeMat-Bulk | PBEsol | optimized geometry
data_NaZn13
_space_group_name_H-M_alt 'P 1'
_space_group_IT_number 1
_space_group_name_Hall 'P 1'
_cell_length_a 8.497
_cell_length_b 8.497
_cell_length_c 8.497
_cell_angle_alpha 60.00
_cell_angle_beta 60.00
_cell_angle_gamma 60.00
loop_
_atom_site_label
_atom_site_type_symbol
_atom_site_fract_x
_atom_site_fract_y
_atom_site_fract_z
Na1 Na 0.250 0.250 0.250
Na2 Na 0.750 0.750 0.750
Zn1 Zn 0.000 0.000 0.000
Zn2 Zn 0.061 0.300 0.700
Zn3 Zn 0.061 0.700 0.939
Zn4 Zn 0.061 0.939 0.300
Zn5 Zn 0.200 0.439 0.800
Zn6 Zn 0.200 0.561 0.439
Zn7 Zn 0.200 0.800 0.561
Zn8 Zn 0.300 0.061 0.939
Zn9 Zn 0.300 0.700 0.061
Zn10 Zn 0.300 0.939 0.700
Zn11 Zn 0.439 0.200 0.561
Zn12 Zn 0.439 0.561 0.800
Zn13 Zn 0.439 0.800 0.200
Zn14 Zn 0.500 0.500 0.500
Zn15 Zn 0.561 0.200 0.800
Zn16 Zn 0.561 0.439 0.200
Zn17 Zn 0.561 0.800 0.439
Zn18 Zn 0.700 0.061 0.300
Zn19 Zn 0.700 0.300 0.939
Zn20 Zn 0.700 0.939 0.061
Zn21 Zn 0.800 0.200 0.439
Zn22 Zn 0.800 0.439 0.561
Zn23 Zn 0.800 0.561 0.200
Zn24 Zn 0.939 0.061 0.700
Zn25 Zn 0.939 0.300 0.061
Zn26 Zn 0.939 0.700 0.300
# - Mass density: 6.7 g/cm3
# - DOS at the Fermi energy: 0.15 states/eV/atom
# - ΔE_f: -0.061 eV/atom
# - Raw total energy: -45.6 eV/cell

---

# NaZr3Zn | Alexandria via LeMat-Bulk | PBEsol | optimized geometry
data_NaZr3Zn
_space_group_name_H-M_alt 'P 1'
_space_group_IT_number 1
_space_group_name_Hall 'P 1'
_cell_length_a 4.876
_cell_length_b 4.876
_cell_length_c 4.876
_cell_angle_alpha 90.00
_cell_angle_beta 90.00
_cell_angle_gamma 90.00
loop_
_atom_site_label
_atom_site_type_symbol
_atom_site_fract_x
_atom_site_fract_y
_atom_site_fract_z
Na1 Na 0.000 0.000 0.000
Zr1 Zr 0.000 0.000 0.500
Zr2 Zr 0.000 0.500 0.000
Zr3 Zr 0.500 0.000 0.000
Zn1 Zn 0.500 0.500 0.500
# - Mass density: 5.2 g/cm3
# - DOS at the Fermi energy: 0.89 states/eV/atom
# - ΔE_f: 1.512 eV/atom
# - Raw total energy: -22.7 eV/cell

---

# Na3Zr | Alexandria via LeMat-Bulk | PBEsol | optimized geometry
data_Na3Zr
_space_group_name_H-M_alt 'P 1'
_space_group_IT_number 1
_space_group_name_Hall 'P 1'
_cell_length_a 6.884
_cell_length_b 6.884
_cell_length_c 5.561
_cell_angle_alpha 90.00
_cell_angle_beta 90.00
_cell_angle_gamma 120.00
loop_
_atom_site_label
_atom_site_type_symbol
_atom_site_fract_x
_atom_site_fract_y
_atom_site_fract_z
Na1 Na 0.168 0.336 0.250
Na2 Na 0.168 0.832 0.250
Na3 Na 0.336 0.168 0.750
Na4 Na 0.664 0.832 0.250
Na5 Na 0.832 0.168 0.750
Na6 Na 0.832 0.664 0.750
Zr1 Zr 0.333 0.667 0.750
Zr2 Zr 0.667 0.333 0.250
# - Mass density: 2.3 g/cm3
# - DOS at the Fermi energy: 1.25 states/eV/atom
# - ΔE_f: 0.822 eV/atom
# - Raw total energy: -20.0 eV/cell

---

# Nd3NbO7 | Alexandria via LeMat-Bulk | PBEsol | optimized geometry
data_Nd3NbO7
_space_group_name_H-M_alt 'P 1'
_space_group_IT_number 1
_space_group_name_Hall 'P 1'
_cell_length_a 7.583
_cell_length_b 10.889
_cell_length_c 7.627
_cell_angle_alpha 90.00
_cell_angle_beta 90.00
_cell_angle_gamma 90.00
loop_
_atom_site_label
_atom_site_type_symbol
_atom_site_fract_x
_atom_site_fract_y
_atom_site_fract_z
Nd1 Nd 0.013 0.250 0.208
Nd2 Nd 0.249 0.525 0.047
Nd3 Nd 0.249 0.975 0.047
Nd4 Nd 0.251 0.025 0.547
Nd5 Nd 0.251 0.475 0.547
Nd6 Nd 0.487 0.750 0.708
Nd7 Nd 0.513 0.250 0.292
Nd8 Nd 0.749 0.525 0.453
Nd9 Nd 0.749 0.975 0.453
Nd10 Nd 0.751 0.025 0.953
Nd11 Nd 0.751 0.475 0.953
Nd12 Nd 0.987 0.750 0.792
Nb1 Nb 0.004 0.250 0.748
Nb2 Nb 0.496 0.750 0.248
Nb3 Nb 0.504 0.250 0.752
Nb4 Nb 0.996 0.750 0.252
O1 O 0.038 0.127 0.951
O2 O 0.038 0.373 0.951
O3 O 0.045 0.612 0.406
O4 O 0.045 0.888 0.406
O5 O 0.243 0.618 0.773
O6 O 0.243 0.882 0.773
O7 O 0.247 0.250 0.665
O8 O 0.253 0.750 0.165
O9 O 0.257 0.118 0.273
O10 O 0.257 0.382 0.273
O11 O 0.455 0.112 0.906
O12 O 0.455 0.388 0.906
O13 O 0.462 0.627 0.451
O14 O 0.462 0.873 0.451
O15 O 0.538 0.127 0.549
O16 O 0.538 0.373 0.549
O17 O 0.545 0.612 0.094
O18 O 0.545 0.888 0.094
O19 O 0.743 0.618 0.727
O20 O 0.743 0.882 0.727
O21 O 0.747 0.250 0.835
O22 O 0.753 0.750 0.335
O23 O 0.757 0.118 0.227
O24 O 0.757 0.382 0.227
O25 O 0.955 0.112 0.594
O26 O 0.955 0.388 0.594
O27 O 0.962 0.627 0.049
O28 O 0.962 0.873 0.049
# - Mass density: 6.7 g/cm3
# - DOS at the Fermi energy: 0.00 states/eV/atom
# - Raw total energy: -394.1 eV/cell
# - Uncorrected formation energy: -35.46 eV/f.u.

---

# Nd3NbO7 | Alexandria via LeMat-Bulk | PBEsol | optimized geometry
data_Nd3NbO7
_space_group_name_H-M_alt 'P 1'
_space_group_IT_number 1
_space_group_name_Hall 'P 1'
_cell_length_a 6.600
_cell_length_b 6.600
_cell_length_c 7.655
_cell_angle_alpha 90.00
_cell_angle_beta 90.00
_cell_angle_gamma 68.44
loop_
_atom_site_label
_atom_site_type_symbol
_atom_site_fract_x
_atom_site_fract_y
_atom_site_fract_z
Nd1 Nd 0.000 0.000 0.000
Nd2 Nd 0.000 0.000 0.500
Nd3 Nd 0.075 0.476 0.750
Nd4 Nd 0.476 0.075 0.250
Nd5 Nd 0.524 0.925 0.750
Nd6 Nd 0.925 0.524 0.250
Nb1 Nb 0.500 0.500 0.000
Nb2 Nb 0.500 0.500 0.500
O1 O 0.106 0.155 0.250
O2 O 0.155 0.106 0.750
O3 O 0.183 0.562 0.037
O4 O 0.183 0.562 0.463
O5 O 0.424 0.576 0.750
O6 O 0.438 0.817 0.037
O7 O 0.438 0.817 0.463
O8 O 0.562 0.183 0.537
O9 O 0.562 0.183 0.963
O10 O 0.576 0.424 0.250
O11 O 0.817 0.438 0.537
O12 O 0.817 0.438 0.963
O13 O 0.845 0.894 0.250
O14 O 0.894 0.845 0.750
# - Mass density: 6.8 g/cm3
# - DOS at the Fermi energy: 0.00 states/eV/atom
# - Raw total energy: -196.8 eV/cell
# - Uncorrected formation energy: -35.35 eV/f.u.

---

# Nd2Nb2S7O30 | Alexandria via LeMat-Bulk | PBEsol | optimized geometry
data_Nd2Nb2S7O30
_space_group_name_H-M_alt 'P 1'
_space_group_IT_number 1
_space_group_name_Hall 'P 1'
_cell_length_a 12.916
_cell_length_b 12.916
_cell_length_c 7.159
_cell_angle_alpha 90.00
_cell_angle_beta 90.00
_cell_angle_gamma 90.00
loop_
_atom_site_label
_atom_site_type_symbol
_atom_site_fract_x
_atom_site_fract_y
_atom_site_fract_z
Nd1 Nd 0.197 0.303 0.095
Nd2 Nd 0.303 0.803 0.905
Nd3 Nd 0.697 0.197 0.905
Nd4 Nd 0.803 0.697 0.095
Nb1 Nb 0.137 0.637 0.518
Nb2 Nb 0.363 0.137 0.482
Nb3 Nb 0.637 0.863 0.482
Nb4 Nb 0.863 0.363 0.518
S1 S 0.000 0.500 0.156
S2 S 0.066 0.823 0.203
S3 S 0.123 0.377 0.606
S4 S 0.177 0.066 0.797
S5 S 0.323 0.566 0.203
S6 S 0.377 0.877 0.394
S7 S 0.434 0.323 0.797
S8 S 0.500 0.000 0.844
S9 S 0.566 0.677 0.797
S10 S 0.623 0.123 0.394
S11 S 0.677 0.434 0.203
S12 S 0.823 0.934 0.797
S13 S 0.877 0.623 0.606
S14 S 0.934 0.177 0.203
O1 O 0.008 0.359 0.630
O2 O 0.041 0.210 0.174
O3 O 0.066 0.077 0.767
O4 O 0.066 0.434 0.041
O5 O 0.066 0.566 0.278
O6 O 0.077 0.934 0.233
O7 O 0.106 0.768 0.379
O8 O 0.132 0.789 0.047
O9 O 0.141 0.492 0.630
O10 O 0.155 0.345 0.421
O11 O 0.176 0.324 0.757
O12 O 0.199 0.699 0.708
O13 O 0.210 0.959 0.826
O14 O 0.211 0.132 0.953
O15 O 0.232 0.106 0.621
O16 O 0.268 0.606 0.379
O17 O 0.289 0.632 0.047
O18 O 0.290 0.459 0.174
O19 O 0.301 0.199 0.292
O20 O 0.324 0.824 0.243
O21 O 0.345 0.845 0.579
O22 O 0.359 0.992 0.370
O23 O 0.368 0.289 0.953
O24 O 0.394 0.268 0.621
O25 O 0.423 0.434 0.767
O26 O 0.434 0.066 0.722
O27 O 0.434 0.577 0.233
O28 O 0.434 0.934 0.959
O29 O 0.459 0.710 0.826
O30 O 0.492 0.859 0.370
O31 O 0.508 0.141 0.370
O32 O 0.541 0.290 0.826
O33 O 0.566 0.066 0.959
O34 O 0.566 0.423 0.233
O35 O 0.566 0.934 0.722
O36 O 0.577 0.566 0.767
O37 O 0.606 0.732 0.621
O38 O 0.632 0.711 0.953
O39 O 0.641 0.008 0.370
O40 O 0.655 0.155 0.579
O41 O 0.676 0.176 0.243
O42 O 0.699 0.801 0.292
O43 O 0.710 0.541 0.174
O44 O 0.711 0.368 0.047
O45 O 0.732 0.394 0.379
O46 O 0.768 0.894 0.621
O47 O 0.789 0.868 0.953
O48 O 0.790 0.041 0.826
O49 O 0.801 0.301 0.708
O50 O 0.824 0.676 0.757
O51 O 0.845 0.655 0.421
O52 O 0.859 0.508 0.630
O53 O 0.868 0.211 0.047
O54 O 0.894 0.232 0.379
O55 O 0.923 0.066 0.233
O56 O 0.934 0.434 0.278
O57 O 0.934 0.566 0.041
O58 O 0.934 0.923 0.767
O59 O 0.959 0.790 0.174
O60 O 0.992 0.641 0.630
# - Mass density: 3.3 g/cm3
# - DOS at the Fermi energy: 0.33 states/eV/atom
# - Raw total energy: -586.7 eV/cell
# - Uncorrected formation energy: -73.23 eV/f.u.

---

# Nd2ScNbO7 | Alexandria via LeMat-Bulk | PBEsol | optimized geometry
data_Nd2ScNbO7
_space_group_name_H-M_alt 'P 1'
_space_group_IT_number 1
_space_group_name_Hall 'P 1'
_cell_length_a 7.443
_cell_length_b 7.443
_cell_length_c 7.443
_cell_angle_alpha 120.62
_cell_angle_beta 119.31
_cell_angle_gamma 90.07
loop_
_atom_site_label
_atom_site_type_symbol
_atom_site_fract_x
_atom_site_fract_y
_atom_site_fract_z
Nd1 Nd 0.000 0.000 0.000
Nd2 Nd 0.500 0.000 0.000
Nd3 Nd 0.500 0.000 0.500
Nd4 Nd 0.500 0.500 0.500
Sc1 Sc 0.000 0.000 0.500
Sc2 Sc 0.000 0.500 0.000
Nb1 Nb 0.000 0.500 0.500
Nb2 Nb 0.500 0.500 0.000
O1 O 0.090 0.425 0.266
O2 O 0.090 0.825 0.665
O3 O 0.093 0.843 0.250
O4 O 0.321 0.571 0.750
O5 O 0.341 0.175 0.766
O6 O 0.341 0.575 0.165
O7 O 0.377 0.127 0.250
O8 O 0.623 0.873 0.750
O9 O 0.659 0.425 0.835
O10 O 0.659 0.825 0.234
O11 O 0.679 0.429 0.250
O12 O 0.907 0.157 0.750
O13 O 0.910 0.175 0.335
O14 O 0.910 0.575 0.734
# - Mass density: 6.1 g/cm3
# - DOS at the Fermi energy: 0.00 states/eV/atom
# - Raw total energy: -200.4 eV/cell
# - Uncorrected formation energy: -35.70 eV/f.u.

---

# Nb6Ni7 | Alexandria via LeMat-Bulk | PBEsol | optimized geometry
data_Nb6Ni7
_space_group_name_H-M_alt 'P 1'
_space_group_IT_number 1
_space_group_name_Hall 'P 1'
_cell_length_a 9.153
_cell_length_b 9.153
_cell_length_c 9.153
_cell_angle_alpha 30.58
_cell_angle_beta 30.58
_cell_angle_gamma 30.58
loop_
_atom_site_label
_atom_site_type_symbol
_atom_site_fract_x
_atom_site_fract_y
_atom_site_fract_z
Nb1 Nb 0.049 0.049 0.049
Nb2 Nb 0.156 0.156 0.156
Nb3 Nb 0.331 0.331 0.331
Nb4 Nb 0.669 0.669 0.669
Nb5 Nb 0.844 0.844 0.844
Nb6 Nb 0.951 0.951 0.951
Ni1 Ni 0.091 0.591 0.591
Ni2 Ni 0.409 0.409 0.909
Ni3 Ni 0.409 0.909 0.409
Ni4 Ni 0.500 0.500 0.500
Ni5 Ni 0.591 0.091 0.591
Ni6 Ni 0.591 0.591 0.091
Ni7 Ni 0.909 0.409 0.409
# - Mass density: 9.1 g/cm3
# - DOS at the Fermi energy: 1.16 states/eV/atom
# - ΔE_f: -0.229 eV/atom
# - Raw total energy: -111.0 eV/cell

---

# NbNi2 | Alexandria via LeMat-Bulk | PBEsol | optimized geometry
data_NbNi2
_space_group_name_H-M_alt 'P 1'
_space_group_IT_number 1
_space_group_name_Hall 'P 1'
_cell_length_a 4.749
_cell_length_b 4.749
_cell_length_c 7.715
_cell_angle_alpha 90.00
_cell_angle_beta 90.00
_cell_angle_gamma 120.00
loop_
_atom_site_label
_atom_site_type_symbol
_atom_site_fract_x
_atom_site_fract_y
_atom_site_fract_z
Nb1 Nb 0.333 0.667 0.056
Nb2 Nb 0.333 0.667 0.444
Nb3 Nb 0.667 0.333 0.556
Nb4 Nb 0.667 0.333 0.944
Ni1 Ni 0.000 0.000 0.000
Ni2 Ni 0.000 0.000 0.500
Ni3 Ni 0.169 0.337 0.750
Ni4 Ni 0.169 0.831 0.750
Ni5 Ni 0.337 0.169 0.250
Ni6 Ni 0.663 0.831 0.750
Ni7 Ni 0.831 0.169 0.250
Ni8 Ni 0.831 0.663 0.250
# - Mass density: 9.3 g/cm3
# - DOS at the Fermi energy: 1.40 states/eV/atom
# - ΔE_f: -0.214 eV/atom
# - Raw total energy: -95.1 eV/cell